Below is TaCuMo2 after structural relaxation, with properties calculated at the PBE level.

Summary:
calculated density	11.6	g/cm3
polymorph energy (0 for the lowest one)	80	meV/atom
crystal system	monoclinic
final energy	-9.253	eV/atom
calculated formation energy	0.60	eV per formula unit
DOS at the Fermi energy	3.93	states/eV/f.u.
space-group type	C2/m

Lattice parameters (Å, degrees): 5.259 5.276 2.682 80.70 79.30 116.82
Element x y z (fractional)
1 Cu 0.500 0.500 0.000
2 Mo 0.000 0.000 0.000
3 Mo 0.500 0.000 0.500
4 Ta 0.000 0.500 0.500

=====

Below is LiPAuCl2 after structural relaxation, with properties calculated at the PBE level.

Summary:
calculated density	3.7	g/cm3
polymorph energy (0 for the lowest one)	0	meV/atom
crystal system	tetragonal
final energy	-2.892	eV/atom
DOS at the Fermi energy	2.80	states/eV/f.u.
space-group type	P4/mmm

Lattice parameters (Å, degrees): 5.377 5.377 4.720 90.00 90.00 90.00
Last column: magnetic moment on the atom in μB.
Element x y z (fractional)
1 P 0.000 0.000 0.500  0.68
2 Li 0.500 0.500 0.500  0.00
3 Au 0.000 0.000 0.000  0.15
4 Cl 0.000 0.500 0.000  0.09
5 Cl 0.500 0.000 0.000  0.09

=====

Below is MgAsW after structural relaxation, with properties calculated at the PBE level.

Summary:
calculated density	9.1	g/cm3
polymorph energy (0 for the lowest one)	0	meV/atom
crystal system	tetragonal
final energy	-6.329	eV/atom
calculated formation energy	0.21	eV per formula unit
DOS at the Fermi energy	1.16	states/eV/f.u.
space-group type	I4mm

Lattice parameters (Å, degrees): 5.357 5.357 5.357 144.54 144.54 51.01
Element x y z (fractional)
1 As 0.023 0.023 0.000
2 Mg 0.334 0.334 0.000
3 W 0.643 0.643 0.000

=====

Below is LiYHoAl after structural relaxation, with properties calculated at the PBE level.

Summary:
calculated density	5.0	g/cm3
crystal system	cubic
final energy	-4.401	eV/atom
calculated formation energy	-0.91	eV per formula unit
DOS at the Fermi energy	3.73	states/eV/f.u.
space-group type	F-43m

Lattice parameters (Å, degrees): 5.147 5.147 5.147 60.00 60.00 60.00
Element x y z (fractional)
1 Y 0.750 0.750 0.750
2 Li 0.000 0.000 0.000
3 Ho 0.250 0.250 0.250
4 Al 0.500 0.500 0.500